[1]
Entry from Alexandria via LeMat-Bulk: TiCoGeSb2 after structural relaxation (GGA-PBE).

Total DFT energy (no corrections), eV per atom: -4.47
SG: P4/mmm (123)
Fermi-level density of states, states/eV per atom: 1.193
Calculated volume, A^3/atom: 26.37
Formation energy from raw total energies, meV/atom: 1100

abc: 5.257 5.257 4.771
angles: 90.00 90.00 90.00
Positions (direct):
Ti 0.000 0.000 0.000
Co 0.500 0.500 0.000
Ge 0.000 0.000 0.500
Sb 0.000 0.500 0.500
Sb 0.500 0.000 0.500


[2]
Entry from Alexandria via LeMat-Bulk: Sc6Co2Ge after structural relaxation (GGA-PBE).

Total DFT energy (no corrections), eV per atom: -6.74
SG: Immm (71)
Fermi-level density of states, states/eV per atom: 0.690
Calculated volume, A^3/atom: 19.35

abc: 7.680 7.680 7.680
angles: 110.82 110.43 107.18
Positions (direct):
Sc 0.037 0.240 0.797
Sc 0.183 0.278 0.460
Sc 0.183 0.722 0.905
Sc 0.326 0.020 0.694
Sc 0.326 0.632 0.306
Sc 0.442 0.240 0.203
Sc 0.558 0.760 0.797
Sc 0.674 0.368 0.694
Sc 0.674 0.980 0.306
Sc 0.817 0.278 0.095
Sc 0.817 0.722 0.540
Sc 0.963 0.760 0.203
Co 0.122 0.622 0.500
Co 0.341 0.000 0.341
Co 0.659 0.000 0.659
Co 0.878 0.378 0.500
Ge 0.000 0.000 0.000
Ge 0.500 0.500 0.000


[3]
Entry from Alexandria via LeMat-Bulk: Sc2Co5Ge3 after structural relaxation (GGA-PBE).

Total DFT energy (no corrections), eV per atom: -6.62
SG: Cmc2_1 (36)
Fermi-level density of states, states/eV per atom: 0.682
Calculated volume, A^3/atom: 13.75

abc: 11.608 11.608 6.192
angles: 90.00 90.00 160.75
Positions (direct):
Sc 0.015 0.985 0.500
Sc 0.326 0.674 0.486
Sc 0.674 0.326 0.986
Sc 0.985 0.015 0.000
Co 0.103 0.897 0.150
Co 0.204 0.796 0.273
Co 0.210 0.790 0.669
Co 0.370 0.630 0.976
Co 0.444 0.556 0.336
Co 0.556 0.444 0.836
Co 0.630 0.370 0.476
Co 0.790 0.210 0.169
Co 0.796 0.204 0.773
Co 0.897 0.103 0.650
Ge 0.111 0.889 0.744
Ge 0.268 0.732 0.975
Ge 0.451 0.549 0.717
Ge 0.549 0.451 0.217
Ge 0.732 0.268 0.475
Ge 0.889 0.111 0.244


[4]
Entry from Alexandria via LeMat-Bulk: Sc2Co3Ge5 after structural relaxation (GGA-PBE).

Total DFT energy (no corrections), eV per atom: -6.22
SG: Cmc2_1 (36)
Fermi-level density of states, states/eV per atom: 0.564
Calculated volume, A^3/atom: 15.09

abc: 11.955 11.955 6.483
angles: 90.00 90.00 160.99
Positions (direct):
Sc 0.023 0.977 0.500
Sc 0.326 0.674 0.511
Sc 0.674 0.326 0.011
Sc 0.977 0.023 0.000
Co 0.106 0.894 0.764
Co 0.279 0.721 0.999
Co 0.448 0.552 0.719
Co 0.552 0.448 0.219
Co 0.721 0.279 0.499
Co 0.894 0.106 0.264
Ge 0.096 0.904 0.132
Ge 0.205 0.795 0.716
Ge 0.211 0.789 0.286
Ge 0.382 0.618 0.013
Ge 0.454 0.546 0.335
Ge 0.546 0.454 0.835
Ge 0.618 0.382 0.513
Ge 0.789 0.211 0.786
Ge 0.795 0.205 0.216
Ge 0.904 0.096 0.632


[5]
Entry from Alexandria via LeMat-Bulk: Sc2CoGe3 after structural relaxation (GGA-PBE).

Total DFT energy (no corrections), eV per atom: -5.93
E above lowest polymorph, eV per atom: 0.264
SG: Immm (71)
Fermi-level density of states, states/eV per atom: 0.924
Calculated volume, A^3/atom: 18.50

abc: 6.004 6.004 6.004
angles: 139.96 125.76 69.52
Positions (direct):
Sc 0.187 0.187 0.000
Sc 0.813 0.813 0.000
Co 0.500 0.500 0.000
Ge 0.000 0.500 0.500
Ge 0.370 0.870 0.500
Ge 0.630 0.130 0.500


[6]
Entry from Alexandria via LeMat-Bulk: ScCoGe3 after structural relaxation (GGA-PBE).

Total DFT energy (no corrections), eV per atom: -4.27
SG: Pm-3m (221)
Fermi-level density of states, states/eV per atom: 1.689
Calculated volume, A^3/atom: 25.01

abc: 5.000 5.000 5.000
angles: 90.00 90.00 90.00
Positions (direct):
Sc 0.000 0.000 0.000
Co 0.500 0.500 0.500
Ge 0.000 0.000 0.500
Ge 0.000 0.500 0.000
Ge 0.500 0.000 0.000


[7]
Entry from Alexandria via LeMat-Bulk: ScCo4Ge after structural relaxation (GGA-PBE).

Total DFT energy (no corrections), eV per atom: -6.74
SG: F-43m (216)
Fermi-level density of states, states/eV per atom: 1.620
Calculated volume, A^3/atom: 12.86

abc: 4.778 4.778 4.778
angles: 60.00 60.00 60.00
Positions (direct):
Sc 0.000 0.000 0.000
Co 0.126 0.625 0.625
Co 0.625 0.126 0.625
Co 0.625 0.625 0.126
Co 0.625 0.625 0.625
Ge 0.250 0.250 0.250


[8]
Entry from Alexandria via LeMat-Bulk: ScCo2Ge after structural relaxation (GGA-PBE).

Total DFT energy (no corrections), eV per atom: -6.03
SG: Immm (71)
Fermi-level density of states, states/eV per atom: 1.382
Calculated volume, A^3/atom: 16.13

abc: 5.687 5.687 5.687
angles: 150.26 134.65 55.18
Positions (direct):
Sc 0.000 0.000 0.000
Co 0.273 0.273 0.000
Co 0.727 0.727 0.000
Ge 0.500 0.500 0.000


[9]
Entry from Alexandria via LeMat-Bulk: Sc3Co8Ge after structural relaxation (GGA-PBE).

Total DFT energy (no corrections), eV per atom: -6.97
SG: R3m (160)
Fermi-level density of states, states/eV per atom: 1.399
Calculated volume, A^3/atom: 13.28

abc: 8.362 8.362 8.362
angles: 33.59 33.59 33.59
Positions (direct):
Sc 0.000 0.000 0.000
Sc 0.128 0.128 0.128
Sc 0.620 0.620 0.620
Co 0.062 0.062 0.561
Co 0.062 0.561 0.062
Co 0.064 0.563 0.563
Co 0.313 0.313 0.313
Co 0.561 0.062 0.062
Co 0.563 0.064 0.563
Co 0.563 0.563 0.064
Co 0.813 0.813 0.813
Ge 0.496 0.496 0.496


[10]
Entry from Alexandria via LeMat-Bulk: ScCo12Ge6 after structural relaxation (GGA-PBE).

Total DFT energy (no corrections), eV per atom: -6.28
SG: R-3m (166)
Fermi-level density of states, states/eV per atom: 1.391
Calculated volume, A^3/atom: 13.38

abc: 6.649 6.649 6.649
angles: 105.48 105.48 105.48
Positions (direct):
Sc 0.000 0.000 0.000
Co 0.121 0.500 0.879
Co 0.121 0.879 0.500
Co 0.175 0.417 0.417
Co 0.417 0.175 0.417
Co 0.417 0.417 0.175
Co 0.500 0.121 0.879
Co 0.500 0.879 0.121
Co 0.583 0.583 0.825
Co 0.583 0.825 0.583
Co 0.825 0.583 0.583
Co 0.879 0.121 0.500
Co 0.879 0.500 0.121
Ge 0.255 0.255 0.712
Ge 0.255 0.712 0.255
Ge 0.288 0.745 0.745
Ge 0.712 0.255 0.255
Ge 0.745 0.288 0.745
Ge 0.745 0.745 0.288


[11]
Entry from Alexandria via LeMat-Bulk: Sc4CoGe8 after structural relaxation (GGA-PBE).

Total DFT energy (no corrections), eV per atom: -5.89
SG: Pmm2 (25)
Fermi-level density of states, states/eV per atom: 0.468
Calculated volume, A^3/atom: 17.96

abc: 3.899 3.956 15.135
angles: 90.00 90.00 90.00
Positions (direct):
Sc 0.000 0.000 0.000
Sc 0.000 0.500 0.490
Sc 0.500 0.000 0.790
Sc 0.500 0.500 0.291
Co 0.000 0.500 0.704
Ge 0.000 0.000 0.330
Ge 0.000 0.000 0.628
Ge 0.000 0.500 0.145
Ge 0.000 0.500 0.853
Ge 0.500 0.000 0.147
Ge 0.500 0.000 0.446
Ge 0.500 0.500 0.626
Ge 0.500 0.500 0.964


[12]
Entry from Alexandria via LeMat-Bulk: Sc3Co2Ge2 after structural relaxation (GGA-PBE).

Total DFT energy (no corrections), eV per atom: -6.73
SG: Pbcm (57)
Fermi-level density of states, states/eV per atom: 0.790
Calculated volume, A^3/atom: 16.71

abc: 5.286 7.255 12.198
angles: 90.00 90.00 90.00
Positions (direct):
Sc 0.123 0.237 0.250
Sc 0.123 0.263 0.750
Sc 0.353 0.599 0.099
Sc 0.353 0.599 0.401
Sc 0.353 0.901 0.599
Sc 0.353 0.901 0.901
Sc 0.647 0.099 0.099
Sc 0.647 0.099 0.401
Sc 0.647 0.401 0.599
Sc 0.647 0.401 0.901
Sc 0.877 0.737 0.250
Sc 0.877 0.763 0.750
Co 0.133 0.543 0.589
Co 0.133 0.543 0.911
Co 0.133 0.957 0.089
Co 0.133 0.957 0.411
Co 0.867 0.043 0.589
Co 0.867 0.043 0.911
Co 0.867 0.457 0.089
Co 0.867 0.457 0.411
Ge 0.158 0.250 0.000
Ge 0.158 0.250 0.500
Ge 0.373 0.612 0.750
Ge 0.373 0.888 0.250
Ge 0.627 0.112 0.750
Ge 0.627 0.388 0.250
Ge 0.842 0.750 0.000
Ge 0.842 0.750 0.500